# 1
Compound: La4ZrCl
Source: the Alexandria database
Functional: meta-GGA SCAN
Structure: single point on PBEsol structure

Cell and atoms, written as POSCAR:
```
La4ZrCl
1.0
6.333 0.000 0.000
3.167 5.485 0.000
3.167 1.828 5.171
Cl La Zr
1 4 1
Cartesian
0.000 0.000 0.000
4.787 2.764 1.954
6.333 3.657 4.480
7.880 2.764 1.954
6.333 5.443 1.954
9.500 5.485 3.878
```

As for the formation energy (no corrections): 0.308 eV/atom. For the total magnetic moment, the calculation gives 0.000 μB per atom. The value obtained for the uncorrected energy is -209.3 eV per cell.

---

# 2
Compound: ScAsW2
Source: the Alexandria database
Functional: meta-GGA SCAN
Structure: single point on PBEsol structure

Cell and atoms, written as POSCAR:
```
ScAsW2
1.0
-1.963 -2.483 -0.255
1.013 -1.226 4.146
-2.791 4.166 0.707
As Sc W
1 1 2
Cartesian
-0.982 -1.242 -0.127
0.507 -0.613 2.073
-1.580 1.124 1.227
-2.161 -0.668 3.372
```

For the formation energy, the calculation gives 0.305 eV/f.u. For the total magnetic moment, the calculation gives 0.000 μB per atom. The value obtained for the uncorrected energy is -173.5 eV per cell.

---

# 3
Compound: TePtWN2
Source: the Alexandria database
Functional: meta-GGA SCAN
Structure: single point on PBEsol structure

Cell and atoms, written as POSCAR:
```
TePtWN2
1.0
-3.258 2.032 -0.002
-1.160 -1.857 3.154
2.527 4.055 3.317
Te W Pt N
1 1 1 2
Cartesian
1.263 2.028 1.659
0.000 0.000 0.000
-0.946 2.115 3.235
-0.580 -0.929 1.577
-1.629 1.016 -0.001
```

As for the formation energy (no corrections): 0.489 eV/atom. For the total magnetic moment, the calculation gives 0.184 μB per atom. The value obtained for the uncorrected energy is -193.3 eV per cell.

---

# 4
Compound: Cd2TePb
Source: the Alexandria database
Functional: meta-GGA SCAN
Structure: single point on PBEsol structure

Cell and atoms, written as POSCAR:
```
Cd2TePb
1.0
4.395 0.000 0.000
0.000 4.395 0.000
-2.197 -2.197 5.678
Pb Te Cd
1 1 2
Cartesian
2.197 2.197 0.000
0.000 0.000 0.000
2.197 0.000 2.839
0.000 2.197 2.839
```

As for the formation energy (no corrections): 0.061 eV/atom. For the total magnetic moment, the calculation gives 0.000 μB per atom. The value obtained for the uncorrected energy is -173.6 eV per cell.

---

# 5
Compound: LiGaPt3
Source: the Alexandria database
Functional: meta-GGA SCAN
Structure: single point on PBEsol structure

Cell and atoms, written as POSCAR:
```
LiGaPt3
1.0
-2.846 3.006 -0.503
-1.844 -1.151 3.559
2.427 2.651 2.114
Ga Pt Li
1 3 1
Cartesian
-1.132 2.253 2.585
-0.922 -0.575 1.779
1.213 1.326 1.057
-1.423 1.503 -0.251
0.000 0.000 0.000
```

For the formation energy, the calculation gives 1.298 eV/f.u. For the total magnetic moment, the calculation gives 0.000 μB per atom. The value obtained for the uncorrected energy is -228.0 eV per cell.

---

# 6
Compound: TePb2Se
Source: the Alexandria database
Functional: meta-GGA SCAN
Structure: single point on PBEsol structure

Cell and atoms, written as POSCAR:
```
TePb2Se
1.0
-2.534 -2.555 -2.615
3.660 -1.759 -1.800
-0.001 -4.486 4.384
Pb Te Se
2 1 1
Cartesian
3.014 -1.833 -1.875
-0.243 -4.506 -0.124
2.826 -4.114 0.278
-0.248 -2.264 -2.317
```

As for the formation energy (no corrections): -0.447 eV/atom. For the total magnetic moment, the calculation gives 0.000 μB per atom. The value obtained for the uncorrected energy is -210.7 eV per cell.

---

# 7
Compound: Ba2SrRh
Source: the Alexandria database
Functional: meta-GGA SCAN
Structure: single point on PBEsol structure

Cell and atoms, written as POSCAR:
```
Ba2SrRh
1.0
4.355 0.000 0.000
2.178 3.772 0.000
2.178 1.257 10.686
Sr Rh Ba
1 1 2
Cartesian
0.000 0.000 0.000
4.355 2.514 5.343
2.178 1.257 3.675
6.533 3.772 7.011
```

For the formation energy, the calculation gives -0.218 eV/f.u. For the total magnetic moment, the calculation gives 0.026 μB per atom. The value obtained for the uncorrected energy is -135.4 eV per cell.

---

# 8
Compound: TmPaTc2
Source: the Alexandria database
Functional: meta-GGA SCAN
Structure: single point on PBEsol structure

Cell and atoms, written as POSCAR:
```
TmPaTc2
1.0
4.747 0.000 0.000
2.374 4.111 0.000
2.374 1.370 3.876
Pa Tm Tc
1 1 2
Cartesian
4.747 2.741 1.938
0.000 0.000 0.000
7.121 4.111 2.907
2.374 1.370 0.969
```

For the formation energy, the calculation gives -1.043 eV/f.u. For the total magnetic moment, the calculation gives 0.000 μB per atom. The value obtained for the uncorrected energy is -222.7 eV per cell.

---

# 9
Compound: CrRe2Te
Source: the Alexandria database
Functional: meta-GGA SCAN
Structure: single point on PBEsol structure

Cell and atoms, written as POSCAR:
```
CrRe2Te
1.0
-1.946 -1.330 1.702
4.047 -1.340 2.364
-1.323 4.970 0.496
Cr Re Te
1 2 1
Cartesian
-0.973 -0.665 0.851
-0.662 2.485 0.248
0.389 1.150 2.280
2.023 -0.670 1.182
```

As for the formation energy (no corrections): 0.811 eV/atom. For the total magnetic moment, the calculation gives 0.488 μB per atom. The value obtained for the uncorrected energy is -194.6 eV per cell.

---

# 10
Compound: Tl2CrCuTe
Source: the Alexandria database
Functional: meta-GGA SCAN
Structure: single point on PBEsol structure

Cell and atoms, written as POSCAR:
```
Tl2CrCuTe
1.0
-0.445 1.007 4.593
-3.011 -4.312 0.653
4.332 -2.866 1.048
Cr Tl Te Cu
1 2 1 1
Cartesian
0.000 0.000 0.000
2.166 -1.433 0.524
-1.505 -2.156 0.327
0.438 -3.086 3.147
-0.223 0.503 2.296
```

As for the formation energy (no corrections): 0.554 eV/atom. For the total magnetic moment, the calculation gives 0.988 μB per atom. The value obtained for the uncorrected energy is -212.8 eV per cell.

---

# 11
Compound: NaCoPCO7
Source: the Alexandria database
Functional: meta-GGA SCAN
Structure: single point on PBEsol structure

Cell and atoms, written as POSCAR:
```
NaCoPCO7
1.0
5.004 0.000 0.088
0.000 5.999 0.000
-0.209 0.000 9.216
Na Co P C O
2 2 2 2 14
Cartesian
3.889 2.636 2.161
0.906 5.635 7.144
1.059 4.529 3.189
3.736 1.530 6.116
1.345 1.503 4.057
3.450 4.503 5.248
1.605 4.546 0.937
3.189 1.546 8.367
3.097 1.607 0.337
0.383 4.511 1.439
2.461 4.511 1.957
1.045 0.333 3.081
1.038 2.683 3.092
4.317 4.454 3.996
2.849 1.550 4.431
1.945 4.549 4.873
0.478 1.455 5.308
3.757 5.682 6.213
3.749 3.332 6.223
2.334 1.511 7.348
4.412 1.512 7.866
1.698 4.607 8.968
```

As for the formation energy (no corrections): -1.762 eV/atom. For the total magnetic moment, the calculation gives 0.097 μB per atom. The value obtained for the uncorrected energy is -210.0 eV per cell.

---

# 12
Compound: Ba2TlPb
Source: the Alexandria database
Functional: meta-GGA SCAN
Structure: single point on PBEsol structure

Cell and atoms, written as POSCAR:
```
Ba2TlPb
1.0
4.088 0.000 0.000
0.000 4.088 0.000
0.000 0.000 9.722
Pb Tl Ba
1 1 2
Cartesian
0.000 0.000 5.336
2.044 2.044 6.855
0.000 0.000 9.052
2.044 2.044 3.062
```

For the formation energy, the calculation gives -1.364 eV/f.u. For the total magnetic moment, the calculation gives 0.000 μB per atom. The value obtained for the uncorrected energy is -228.6 eV per cell.